[1]
Below is Rb2TaNbMo after structural relaxation, with properties calculated at the PBE level.

Calculated values
Its formation energy is 2.439 eV per atom. As for the density of states at the Fermi level: 4.97 states/eV per cell.

abc: 6.8395 6.8395 4.8015
angles: 90.00 90.00 90.00
With the nearest neighbours (Å) after each atom.
Positions (direct):
Rb (0.0000, 0.5000, 0.0000)  2 Ta 3.42
Rb (0.5000, 0.0000, 0.0000)  2 Ta 3.42
Ta (0.0000, 0.0000, 0.0000)  2 Nb 2.40
Nb (0.0000, 0.0000, 0.5000)  2 Ta 2.40
Mo (0.5000, 0.5000, 0.5000)  8 Rb 4.18


[2]
Below is CaEu3 after structural relaxation, with properties calculated at the PBE level.

Calculated values
Its formation energy is 0.057 eV per atom. As for the density of states at the Fermi level: 14.99 states/eV per cell.

abc: 6.9267 6.9267 6.9267
angles: 132.98 132.98 68.68
With the nearest neighbours (Å) after each atom.
Positions (direct):
Ca (0.0000, 0.0000, 0.0000)  12 Eu 3.91-3.98
Eu (0.2500, 0.7500, 0.5000)  8 Eu 3.91-3.98, 4 Ca 3.98
Eu (0.5000, 0.5000, 0.0000)  4 Ca 3.91, 8 Eu 3.98
Eu (0.7500, 0.2500, 0.5000)  8 Eu 3.91-3.98, 4 Ca 3.98


[3]
Below is HoCd2Sn3 after structural relaxation, with properties calculated at the PBE level.

Calculated values
Its formation energy is -0.234 eV per atom. As for the density of states at the Fermi level: 2.57 states/eV per cell.

abc: 7.7022 7.7022 4.4315
angles: 90.00 90.00 144.97
With the nearest neighbours (Å) after each atom.
Positions (direct):
Ho (0.0000, 0.0000, 0.0000)  8 Sn 3.21-3.34, 4 Cd 3.34
Cd (0.3367, 0.6633, 0.0000)  8 Sn 3.21-3.30, 2 Ho 3.34, 2 Cd 3.44
Cd (0.6633, 0.3367, 0.0000)  8 Sn 3.21-3.30, 2 Ho 3.34, 2 Cd 3.44
Sn (0.1699, 0.8301, 0.5000)  6 Cd 3.21-3.30, 4 Sn 3.30-3.41, 2 Ho 3.34
Sn (0.5000, 0.5000, 0.5000)  4 Ho 3.21, 4 Cd 3.27, 4 Sn 3.41
Sn (0.8301, 0.1699, 0.5000)  6 Cd 3.21-3.30, 4 Sn 3.30-3.41, 2 Ho 3.34


[4]
Below is TlSiSe after structural relaxation, with properties calculated at the PBE level.

Calculated values
The calculation puts the distance to the lowest polymorph of the same formula at 0 meV/atom.

abc: 3.9956 6.3877 7.2369
angles: 96.72 101.95 102.53
With the nearest neighbours (Å) after each atom.
Positions (direct):
Tl (0.0000, 0.0000, 0.0000)  2 Si 3.12-3.36, 2 Se 3.24-3.34
Tl (0.4217, 0.7225, 0.3846)  3 Se 3.02-3.19
Si (0.4019, 0.1784, 0.7028)  2 Si 2.38-2.39, 1 Se 2.43
Si (0.8719, 0.2570, 0.5438)  2 Se 2.30-2.39, 2 Si 2.38-2.39
Se (0.3093, 0.5413, 0.7655)  2 Si 2.39-2.43
Se (0.7389, 0.3613, 0.2490)  1 Si 2.30


[5]
Below is TaPdW2 after structural relaxation, with properties calculated at the PBE level.

Calculated values
Its formation energy is 0.302 eV per atom. As for the density of states at the Fermi level: 7.11 states/eV per cell. The calculation puts the distance to the lowest polymorph of the same formula at 0 meV/atom.

abc: 4.5349 4.5349 4.5349
angles: 60.00 60.00 60.00
With the nearest neighbours (Å) after each atom.
Positions (direct):
Ta (0.0000, 0.0000, 0.0000)  8 W 2.78
Pd (0.5000, 0.5000, 0.5000)  8 W 2.78
W (0.2500, 0.2500, 0.2500)  4 Ta 2.78, 4 Pd 2.78
W (0.7500, 0.7500, 0.7500)  4 Ta 2.78, 4 Pd 2.78


[6]
Below is LuPuHgOs after structural relaxation, with properties calculated at the PBE level.

Calculated values
Its formation energy is -0.070 eV per atom. As for the density of states at the Fermi level: 10.11 states/eV per cell.

abc: 4.9783 4.9783 4.9783
angles: 60.00 60.00 60.00
With the nearest neighbours (Å) after each atom.
Positions (direct):
Lu (0.0000, 0.0000, 0.0000)  4 Hg 3.05, 4 Os 3.05
Pu (0.5000, 0.5000, 0.5000)  4 Os 3.05, 4 Hg 3.05
Hg (0.2500, 0.2500, 0.2500)  4 Pu 3.05, 4 Lu 3.05
Os (0.7500, 0.7500, 0.7500)  4 Lu 3.05, 4 Pu 3.05


E, record by record: -22.5 -32.6 -19.8 -23.3 -41.7 -30.7 eV for the cell shown